# CuAgBr2 | Alexandria | PBE | optimized geometry
# Energy: -0.197 Ry per atom
# Total magnetic moment: 0.0 Bohr magnetons per cell
# Space-group type: Immm (71)
data_CuAgBr2
_cell_length_a 5.7020
_cell_length_b 5.7020
_cell_length_c 5.7020
_cell_angle_alpha 141.96
_cell_angle_beta 96.92
_cell_angle_gamma 95.27
_symmetry_space_group_name_H-M 'P 1'
_symmetry_Int_Tables_number 1
_symmetry_space_group_name_Hall 'P 1'
loop_
_atom_site_label
_atom_site_type_symbol
_atom_site_fract_x
_atom_site_fract_y
_atom_site_fract_z
Cu1 Cu 0.7500 0.2500 0.5000
Br1 Br 0.5243 0.5243 0.0000
Br2 Br 0.9757 0.9757 0.0000
Ag1 Ag 0.2500 0.7500 0.5000

# CuAg2Br6 | Alexandria | PBE | optimized geometry
# Energy: -0.179 Ry per atom
# Total magnetic moment: 1.0 Bohr magnetons per cell
# Space-group type: P2_1/c (14)
data_CuAg2Br6
_cell_length_a 6.8411
_cell_length_b 7.1069
_cell_length_c 12.3119
_cell_angle_alpha 90.00
_cell_angle_beta 74.43
_cell_angle_gamma 90.00
_symmetry_space_group_name_H-M 'P 1'
_symmetry_Int_Tables_number 1
_symmetry_space_group_name_Hall 'P 1'
loop_
_atom_site_label
_atom_site_type_symbol
_atom_site_fract_x
_atom_site_fract_y
_atom_site_fract_z
Ag1 Ag 0.5182 0.1411 0.3386
Ag2 Ag 0.4818 0.8589 0.6614
Ag3 Ag 0.9818 0.6411 0.1614
Ag4 Ag 0.0182 0.3589 0.8386
Br1 Br 0.1481 0.0249 0.7690
Br2 Br 0.3342 0.7912 0.0606
Br3 Br 0.6658 0.2088 0.9394
Br4 Br 0.8519 0.9751 0.2310
Br5 Br 0.6481 0.4751 0.2690
Br6 Br 0.3088 0.8316 0.4200
Br7 Br 0.3519 0.5249 0.7310
Br8 Br 0.8342 0.7088 0.5606
Br9 Br 0.6912 0.1684 0.5800
Br10 Br 0.1658 0.2912 0.4394
Br11 Br 0.1912 0.3316 0.0800
Br12 Br 0.8088 0.6684 0.9200
Cu1 Cu 0.0000 0.0000 0.5000
Cu2 Cu 0.5000 0.5000 0.0000

# Cu2Ag2Br5 | Alexandria | PBE | optimized geometry
# Energy: -0.203 Ry per atom
# Total magnetic moment: 0.0 Bohr magnetons per cell
# Space-group type: R3m (160)
data_Cu2Ag2Br5
_cell_length_a 4.0944
_cell_length_b 4.0944
_cell_length_c 17.3947
_cell_angle_alpha 83.24
_cell_angle_beta 83.24
_cell_angle_gamma 60.00
_symmetry_space_group_name_H-M 'P 1'
_symmetry_Int_Tables_number 1
_symmetry_space_group_name_Hall 'P 1'
loop_
_atom_site_label
_atom_site_type_symbol
_atom_site_fract_x
_atom_site_fract_y
_atom_site_fract_z
Cu1 Cu 0.5146 0.5146 0.4561
Cu2 Cu 0.6937 0.6937 0.9189
Br1 Br 0.0119 0.0119 0.9644
Br2 Br 0.7407 0.7407 0.7778
Br3 Br 0.6078 0.6078 0.1765
Br4 Br 0.4686 0.4686 0.5941
Br5 Br 0.8651 0.8651 0.4048
Ag1 Ag 0.9185 0.9185 0.2445
Ag2 Ag 0.1041 0.1041 0.6877

# CuAg2Br5 | Alexandria | PBE | optimized geometry
# Energy: -0.185 Ry per atom
# Total magnetic moment: 0.0 Bohr magnetons per cell
# Space-group type: Cmcm (63)
data_CuAg2Br5
_cell_length_a 5.5874
_cell_length_b 7.2019
_cell_length_c 12.4832
_cell_angle_alpha 90.00
_cell_angle_beta 90.00
_cell_angle_gamma 112.82
_symmetry_space_group_name_H-M 'P 1'
_symmetry_Int_Tables_number 1
_symmetry_space_group_name_Hall 'P 1'
loop_
_atom_site_label
_atom_site_type_symbol
_atom_site_fract_x
_atom_site_fract_y
_atom_site_fract_z
Br1 Br 0.3447 0.6895 0.1026
Br2 Br 0.0776 0.1552 0.1177
Br3 Br 0.9224 0.8448 0.6177
Br4 Br 0.2648 0.5296 0.7500
Br5 Br 0.6553 0.3105 0.6026
Br6 Br 0.9224 0.8448 0.8823
Br7 Br 0.3447 0.6895 0.3974
Br8 Br 0.6553 0.3105 0.8974
Br9 Br 0.0776 0.1552 0.3823
Br10 Br 0.7352 0.4704 0.2500
Ag1 Ag 0.8613 0.7226 0.0849
Ag2 Ag 0.1387 0.2774 0.9151
Ag3 Ag 0.1387 0.2774 0.5849
Ag4 Ag 0.8613 0.7226 0.4151
Cu1 Cu 0.7838 0.5676 0.7500
Cu2 Cu 0.2162 0.4324 0.2500

Number 1: raw formation energy -0.11 eV/atom. Number 2: raw formation energy -0.24 eV/atom. Number 3: raw formation energy -0.29 eV/atom. Number 4: raw formation energy -0.24 eV/atom.